Below is K2FeCuCl6 after structural relaxation, with properties calculated at the PBE level.

Structure (POSCAR):
```
K2FeCuCl6
1.0
6.719 0.000 0.000
0.000 6.719 -0.002
-3.359 -3.360 5.336
K Fe Cu Cl
2 1 1 6
Cartesian
3.358 0.002 2.664
0.000 3.362 2.664
0.002 0.003 0.000
3.361 3.364 0.027
1.315 1.980 5.329
3.360 3.362 2.945
-1.313 -1.975 5.332
1.978 -1.311 5.330
-0.001 0.003 2.376
-1.977 1.316 5.330
```

* volume: 24.084 Å³/atom
* magnetization: 4.181 μB/cell
* E_form (uncorrected): -27.0 kcal/mol of atoms

***

Below is YScAsBr2 after structural relaxation, with properties calculated at the PBE level.

Structure (POSCAR):
```
YScAsBr2
1.0
5.368 0.000 0.000
0.000 5.368 0.000
0.000 0.000 5.725
Y Sc As Br
1 1 1 2
Cartesian
0.000 0.000 0.000
2.684 2.684 2.862
0.000 0.000 2.862
0.000 2.684 0.000
2.684 0.000 0.000
```

* volume: 32.996 Å³/atom
* magnetization: 0.991 μB/cell
* E_form (uncorrected): -12.7 kcal/mol of atoms
* polymorph energy (0 for the lowest one): 221 meV/atom

***

Below is Rb3Ag2AuCl9 after structural relaxation, with properties calculated at the PBE level.

Structure (POSCAR):
```
Rb3Ag2AuCl9
1.0
-7.052 0.248 -1.851
4.547 -4.468 -3.547
-1.774 -6.484 5.892
Rb Ag Au Cl
3 2 1 9
Cartesian
-0.524 -7.297 1.018
0.000 0.000 0.000
-3.756 -3.407 -0.523
0.382 -3.987 -1.990
-4.662 -6.716 2.484
-0.887 -3.242 2.946
-6.316 -4.820 1.770
-4.016 -7.080 -0.024
-2.749 -4.946 2.705
-1.531 -5.758 -2.211
-0.264 -3.624 0.519
2.036 -5.884 -1.275
-3.526 0.124 -0.925
2.273 -2.234 -1.774
-1.253 -2.110 -2.699
```

* volume: 27.468 Å³/atom
* magnetization: 0.000 μB/cell
* E_form (uncorrected): -23.7 kcal/mol of atoms

***

Number 1: energy -3.76 eV per atom. Number 2: energy -4.71 eV per atom. Number 3: energy -2.93 eV per atom.